[1]
# Ti3P2S

An optimized crystal structure of Ti3P2S (PBE, Alexandria).

Output
Total magnetization in μB per cell: 0.00
Formation energy (no corrections) in eV per atom: -1.147
Fermi-level density of states in states/eV per cell: 9.72

Cell: 6.0961 6.1188 6.1188 Å, 119.75 99.57 99.57°
Last column: nearest neighbours and their distance in Å.
Element x y z (fractional)
Ti 0.9945 0.1368 0.3159  4 P 2.41-2.49, 2 S 2.59
Ti 0.4945 0.3159 0.1368  4 P 2.41-2.49, 2 S 2.59
Ti 0.0000 0.5000 0.0000  4 P 2.49-2.50, 2 S 2.53
Ti 0.0055 0.8632 0.6841  4 P 2.41-2.49, 2 S 2.59
Ti 0.5000 0.0000 0.5000  4 P 2.49-2.50, 2 S 2.53
Ti 0.5055 0.6841 0.8632  4 P 2.41-2.49, 2 S 2.59
P 0.2500 0.9154 0.0846  6 Ti 2.41-2.49
P 0.2500 0.2575 0.7425  6 Ti 2.44-2.50
P 0.7500 0.0846 0.9154  6 Ti 2.41-2.49
P 0.7500 0.7425 0.2575  6 Ti 2.44-2.50
S 0.2500 0.5790 0.4210  6 Ti 2.53-2.59
S 0.7500 0.4210 0.5790  6 Ti 2.53-2.59

***

[2]
# Ti3CrRu

An optimized crystal structure of Ti3CrRu (PBE, Alexandria).

Output
Offset from the most stable computed form in meV per atom: 0
Total magnetization in μB per cell: 0.00
Formation enthalpy at 0 K in eV/atom: 0.640
Fermi-level density of states in states/eV per cell: 6.03

Cell: 4.3946 4.3946 4.3946 Å, 90.00 90.00 90.00°
Last column: nearest neighbours and their distance in Å.
Element x y z (fractional)
Ru 0.5000 0.5000 0.5000  12 Ti 3.11
Ti 0.0000 0.5000 0.0000  2 Cr 2.20
Ti 0.0000 0.0000 0.5000  2 Cr 2.20
Ti 0.5000 0.0000 0.0000  2 Cr 2.20
Cr 0.0000 0.0000 0.0000  6 Ti 2.20